Computed, not measured: PIrPd3 after structural relaxation at the GGA-PBE level of DFT.

Computed properties:
Space-group type   No. 221
E_form   1.44 eV/atom

abc: 4.803 4.803 4.803
angles: 90.00 90.00 90.00
Last column: magnetic moment on the atom in μB.
Fractional positions:
1 P 0.500 0.500 0.500  0.02
2 Pd 0.000 0.500 0.000  0.07
3 Pd 0.500 0.000 0.000  0.03
4 Pd 0.000 0.000 0.500  0.25
5 Ir 0.000 0.000 0.000  0.42